## w
An optimized crystal structure of SrInHg6, computed with PBE.

Cell: 6.2570 6.2570 25.7285 Å, 90.00 90.00 120.00°
With the nearest neighbours (Å) after each atom.
Space group R-3m (No. 166, hexagonal axes)
Unique sites:
Sr 0.0000 0.0000 0.0000  6 Hg 3.30
In 0.0000 0.0000 0.5000  12 Hg 3.49
Hg 0.0061 0.5031 0.4400  5 Hg 3.07-3.19, 1 Sr 3.30

Calculated values
M_tot: 0.00 μB/f.u.



## x
An optimized crystal structure of SrInHg6, computed with PBE.

Cell: 5.2242 7.4420 11.2485 Å, 90.00 90.00 90.00°
With the nearest neighbours (Å) after each atom.
Space group Amm2 (No. 38)
Unique sites:
Sr 0.0000 0.0000 0.0000  10 Hg 3.34-3.44
In 0.5000 0.0000 0.7359  10 Hg 3.28-3.50
Hg 0.0000 0.0000 0.5436  8 Hg 3.21-3.50, 2 In 3.39
Hg 0.0000 0.2197 0.2686  7 Hg 3.20-3.50, 2 Sr 3.34-3.44, 2 In 3.36
Hg 0.5000 0.0000 0.1915  8 Hg 3.20-3.41, 2 Sr 3.39
Hg 0.5000 0.2151 0.4588  7 Hg 3.20-3.41, 2 In 3.28-3.50, 2 Sr 3.40

Calculated values
M_tot: 0.00 μB/f.u.



x is preferred energetically. Next in line: 14.5 kJ/mol of atoms higher.



## w
An optimized crystal structure of Sr2In3Hg, computed with PBE.

Cell: 8.0999 10.1747 17.6303 Å, 90.00 90.00 90.00°
With the nearest neighbours (Å) after each atom.
Space group Fmmm (No. 69)
Unique sites:
Sr 0.2434 0.0000 0.0000  2 Hg 3.54, 10 In 3.55-3.60, 1 Sr 3.94
Sr 0.2500 0.2500 0.2500  8 In 3.56, 4 Hg 3.57
In 0.0000 0.0000 0.3329  1 Hg 2.93, 2 In 2.93
In 0.0000 0.2489 0.4162  2 In 2.93-2.95, 1 Hg 2.95
Hg 0.0000 0.0000 0.1670  3 In 2.93-2.95

Calculated values
M_tot: 0.00 μB/f.u.



## x
An optimized crystal structure of Sr2In3Hg, computed with PBE.

Cell: 11.8685 5.0735 8.1425 Å, 90.00 132.82 90.00°
With the nearest neighbours (Å) after each atom.
Space group Cm (No. 8)
Unique sites:
Sr 0.0000 0.0000 0.0000  9 In 3.47-3.72, 3 Hg 3.68
Sr 0.0849 0.0000 0.5899  9 In 3.48-3.74, 3 Hg 3.50-3.52
In 0.2029 0.5000 0.0076  1 Hg 2.97, 3 In 2.98-3.17
In 0.2072 0.5000 0.4007  2 Hg 2.94, 2 In 2.98-3.17
In 0.3816 0.0000 0.1927  3 In 2.98, 1 Hg 3.18
Hg 0.3766 0.0000 0.5786  4 In 2.94-3.18

Calculated values
M_tot: 0.00 μB/f.u.



x is preferred energetically. Next in line: 2.5 kJ/mol of atoms higher.



## w
An optimized crystal structure of Sr2InHg6, computed with PBE.

Cell: 11.8794 6.8460 6.2302 Å, 90.00 90.12 90.00°
With the nearest neighbours (Å) after each atom.
Space group C2/m (No. 12)
Unique sites:
Sr 0.1663 0.0000 0.1766  12 Hg 3.55-3.60
In 0.0000 0.5000 0.0000  6 Hg 2.97
Hg 0.0913 0.2265 0.6750  1 In 2.97, 4 Hg 3.07-3.10
Hg 0.1830 0.5000 0.3245  1 In 2.97, 4 Hg 3.08-3.10

Calculated values
M_tot: 0.00 μB/f.u.



## x
An optimized crystal structure of Sr2InHg6, computed with PBE.

Cell: 8.8679 8.8679 3.7727 Å, 90.00 90.00 120.00°
With the nearest neighbours (Å) after each atom.
Space group P6/mmm (No. 191)
Unique sites:
Sr 0.3333 0.6667 0.0000  12 Hg 3.53, 2 Sr 3.77
In 0.0000 0.0000 0.0000  12 Hg 3.47, 2 In 3.77
Hg 0.0000 0.3281 0.5000  3 Hg 2.91-3.05

Calculated values
M_tot: 0.00 μB/f.u.



w is preferred energetically. Next in line: 4.0 kJ/mol of atoms higher.